PBE TlZnFeW, optimized geometry; magnetization = 0.231 μB/atom; relative energy among the computed polymorphs = 0 meV per atom
1.0
1.0319 -1.4888 4.0818
-2.6212 1.0064 3.4726
-2.4885 -3.1762 1.9135
Fe Tl W Zn
1 1 1 1
direct
0.7500 0.7500 0.7500
0.0000 0.0000 0.0000
0.5000 0.5000 0.5000
0.2500 0.2500 0.2500